No. 1
Computed, not measured: a relaxed YbSb crystal at the PBE-GGA level of DFT.

## Properties
- ρ: 8.0 g cm⁻³
- Space group: Fm-3m (225)
- Formation energy without anion corrections: -0.84 eV per atom

Unit cell a=4.4243 b=4.4243 c=4.4243 alpha=60.00 beta=60.00 gamma=60.00
Site moments in Bohr magnetons follow the coordinates.
Fractional coordinates of all 2 atoms:
Yb 0.0000 0.0000 0.0000  -0.18
Sb 0.5000 0.5000 0.5000  -0.01


No. 2
Computed, not measured: a relaxed YbZn2Sb2 crystal at the PBE-GGA level of DFT.

## Properties
- ρ: 7.1 g cm⁻³
- Space group: C2/m (12)
- Formation energy without anion corrections: -0.41 eV per atom

Unit cell a=4.4614 b=4.4614 c=6.8587 alpha=100.24 beta=100.24 gamma=73.64
Fractional coordinates of all 5 atoms:
Sb 0.6819 0.6819 0.2506
Sb 0.3181 0.3181 0.7494
Zn 0.2407 0.7593 0.5000
Zn 0.7593 0.2407 0.5000
Yb 0.0000 0.0000 0.0000